The following is a DFT calculation (PBE) of TmZrNp after structural relaxation.

Unit cell a=6.9333 b=6.9333 c=6.9333 alpha=90.00 beta=90.00 gamma=90.00
Last column: nearest neighbours and their distance in Å.
Space group F-43m (No. 216)
Symmetry-distinct sites (fractional):
1 Tm 0.0000 0.0000 0.0000 x4  4 Zr 3.00
2 Zr 0.2500 0.2500 0.7500 x4  4 Tm 3.00, 4 Np 3.00
3 Np 0.0000 0.0000 0.5000 x4  4 Zr 3.00

Output
Energy relative to the lowest polymorph listed for this composition ... 0.00 eV/f.u.
ρ ... 9.9 g cm⁻³
ΔH_f (0 K) ... 3.3 eV/f.u.
Electronic total energy ... -0.2756 hartree per atom
Crystal system ... cubic